Density functional theory data (GGA+U) for crystalline Y3MnO at its relaxed geometry.

Values from the calculation:
- Raw total energy: -7.432 eV/atom
- Distance to the lowest polymorph of the same formula: 0 meV/atom
- Total magnetic moment: 4.19 μB/f.u.

Cell: 4.818 4.818 4.818 Å, 90.00 90.00 90.00°
Last column: magnetic moment on the atom in μB.
Element x y z (fractional)
Mn  0.500  0.500  0.500  4.53
O  0.000  0.000  0.000  0.00
Y  0.000  0.500  0.000  -0.16
Y  0.500  0.000  0.000  -0.15
Y  0.000  0.000  0.500  -0.15